{
  "formula": "K2HfSnBi",
  "functional": "PBE",
  "state": "optimized geometry",
  "e_form_mev_per_atom": 620,
  "dos_ef_per_ev_fu": 3.7,
  "lattice": [[6.410, 0.000, 0.000], [0.000, 6.410, 0.000], [0.000, 0.000, 5.526]],
  "species": ["K", "K", "Hf", "Sn", "Bi"],
  "frac_coords": [[0.000, 0.500, 0.000], [0.500, 0.000, 0.000], [0.000, 0.000, 0.500], [0.500, 0.500, 0.500], [0.000, 0.000, 0.000]]
}

***

{
  "formula": "SmPa2B6",
  "functional": "PBE",
  "state": "optimized geometry",
  "e_form_mev_per_atom": -542,
  "dos_ef_per_ev_fu": 3.6,
  "lattice": [[5.613, 0.000, 0.000], [-2.807, 4.861, 0.000], [0.000, 0.000, 4.062]],
  "species": ["Sm", "Pa", "Pa", "B", "B", "B", "B", "B", "B"],
  "frac_coords": [[0.000, 0.000, 0.000], [0.333, 0.667, 0.000], [0.667, 0.333, 0.000], [0.000, 0.338, 0.500], [0.000, 0.662, 0.500], [0.338, 0.000, 0.500], [0.338, 0.338, 0.500], [0.662, 0.000, 0.500], [0.662, 0.662, 0.500]]
}

***

{
  "formula": "Ho2Er3Pd3",
  "functional": "PBE",
  "state": "optimized geometry",
  "e_form_mev_per_atom": -657,
  "dos_ef_per_ev_fu": 7.1,
  "lattice": [[3.526, 0.000, 0.000], [0.000, 5.121, 0.000], [0.000, 0.000, 20.819]],
  "species": ["Ho", "Ho", "Ho", "Ho", "Er", "Er", "Er", "Er", "Er", "Er", "Pd", "Pd", "Pd", "Pd", "Pd", "Pd"],
  "frac_coords": [[0.000, 0.000, 0.226], [0.000, 0.000, 0.774], [0.500, 0.500, 0.274], [0.500, 0.500, 0.726], [0.000, 0.000, 0.000], [0.000, 0.500, 0.116], [0.000, 0.500, 0.884], [0.500, 0.000, 0.384], [0.500, 0.000, 0.616], [0.500, 0.500, 0.500], [0.000, 0.000, 0.500], [0.000, 0.500, 0.386], [0.000, 0.500, 0.614], [0.500, 0.000, 0.114], [0.500, 0.000, 0.886], [0.500, 0.500, 0.000]]
}

***

{
  "formula": "PrHo7Tm3",
  "functional": "PBE",
  "state": "optimized geometry",
  "e_form_mev_per_atom": 148,
  "dos_ef_per_ev_fu": 17.0,
  "polymorph_energy_mev_per_atom": 0.0,
  "lattice": [[6.898, 0.000, 0.000], [0.000, 5.509, 0.000], [-3.220, 0.000, 9.268]],
  "species": ["Pr", "Ho", "Ho", "Ho", "Ho", "Ho", "Ho", "Ho", "Tm", "Tm", "Tm"],
  "frac_coords": [[0.000, 0.000, 0.000], [0.000, 0.000, 0.500], [0.149, 0.500, 0.790], [0.327, 0.500, 0.143], [0.429, 0.000, 0.333], [0.571, 0.000, 0.667], [0.673, 0.500, 0.857], [0.851, 0.500, 0.210], [0.275, 0.500, 0.494], [0.500, 0.000, 0.000], [0.725, 0.500, 0.506]]
}

***

{
  "formula": "In2Pb2F",
  "functional": "PBE",
  "state": "optimized geometry",
  "dos_ef_per_ev_fu": 2.0,
  "polymorph_energy_mev_per_atom": 25.9,
  "e_form_raw_ev_per_atom": -0.51,
  "lattice": [[6.975, 0.000, 0.000], [0.000, 6.975, 0.000], [0.000, 0.000, 5.641]],
  "species": ["In", "In", "In", "In", "Pb", "Pb", "Pb", "Pb", "F", "F"],
  "frac_coords": [[0.162, 0.338, 0.000], [0.338, 0.838, 0.000], [0.662, 0.162, 0.000], [0.838, 0.662, 0.000], [0.172, 0.672, 0.500], [0.328, 0.172, 0.500], [0.672, 0.828, 0.500], [0.828, 0.328, 0.500], [0.000, 0.000, 0.500], [0.500, 0.500, 0.500]]
}

***

{
  "formula": "Nd2TmThAs4",
  "functional": "PBE",
  "state": "optimized geometry",
  "e_form_mev_per_atom": -1496,
  "dos_ef_per_ev_fu": 1.5,
  "lattice": [[7.286, 0.000, 0.000], [0.000, 4.224, 0.000], [-2.438, 0.000, 6.905]],
  "species": ["Nd", "Nd", "Tm", "Th", "As", "As", "As", "As"],
  "frac_coords": [[0.000, 0.000, 0.000], [0.500, 0.500, 0.000], [0.000, 0.500, 0.500], [0.500, 0.000, 0.500], [0.242, 0.000, 0.740], [0.247, 0.500, 0.256], [0.753, 0.500, 0.744], [0.758, 0.000, 0.260]]
}